#A
Computed, not measured: BaIn2Te2 after structural relaxation at the PBE-GGA level of DFT.

The structure in POSCAR format:
```
BaIn2Te2
1.0
4.536 0.000 0.000
0.000 4.536 0.000
2.268 2.268 8.741
Te Ba In
2 1 2
Cartesian
2.268 2.268 1.711
4.536 4.536 7.030
0.000 0.000 0.000
4.536 2.268 4.371
2.268 4.536 4.371
```

Values from the calculation:
* volume: 36.0 Å³/atom
* crystal system: tetragonal



#B
Computed, not measured: BaIn2Te2 after structural relaxation at the PBE-GGA level of DFT.

The structure in POSCAR format:
```
BaIn2Te2
1.0
5.988 0.000 0.000
0.000 5.988 0.000
2.994 2.994 4.922
Te Ba In
2 1 2
Cartesian
5.988 2.994 2.461
2.994 5.988 2.461
0.000 0.000 0.000
2.994 2.994 1.465
5.988 5.988 3.457
```

Values from the calculation:
* volume: 35.3 Å³/atom
* crystal system: tetragonal



Stability summary - winner: #A; margin: 16 meV per atom.



#A
Computed, not measured: BaIn3Te after structural relaxation at the PBE-GGA level of DFT.

The structure in POSCAR format:
```
BaIn3Te
1.0
-4.026 -4.031 1.776
3.968 -2.274 3.835
-1.914 3.768 4.214
Te Ba In
1 1 3
Cartesian
0.000 0.000 0.000
-0.986 -1.269 4.912
1.984 -1.137 1.917
-0.957 1.884 2.107
-2.013 -2.016 0.888
```

Values from the calculation:
* volume: 42.5 Å³/atom
* crystal system: cubic



#B
Computed, not measured: BaIn3Te after structural relaxation at the PBE-GGA level of DFT.

The structure in POSCAR format:
```
BaIn3Te
1.0
6.393 0.000 0.000
0.000 6.393 0.000
0.000 0.000 6.393
Te Ba In
1 1 3
Cartesian
3.197 3.197 3.197
0.000 0.000 0.000
0.000 3.197 0.000
0.000 0.000 3.197
3.197 0.000 0.000
```

Values from the calculation:
* volume: 52.3 Å³/atom
* crystal system: cubic



Stability summary - winner: #A; margin: 623 meV per atom.



#A
Computed, not measured: Ba2InTe2 after structural relaxation at the PBE-GGA level of DFT.

The structure in POSCAR format:
```
Ba2InTe2
1.0
-9.130 1.945 1.590
-2.493 -6.280 -6.635
-0.145 -3.213 3.096
Te Ba In
4 4 2
Cartesian
-3.175 -5.439 -2.575
-8.191 -5.601 -2.978
-8.594 -2.110 0.626
-3.578 -1.948 1.030
-5.365 -4.676 -5.105
-9.410 -2.393 -2.925
-6.258 0.341 0.060
-2.213 -1.942 -2.119
0.000 0.000 0.000
-5.812 -2.168 -2.522
```

Values from the calculation:
* volume: 40.0 Å³/atom
* crystal system: tetragonal



#B
Computed, not measured: Ba2InTe2 after structural relaxation at the PBE-GGA level of DFT.

The structure in POSCAR format:
```
Ba2InTe2
1.0
-2.038 -4.420 7.909
5.055 -7.282 -2.768
3.718 1.828 1.980
Te Ba In
4 4 2
Cartesian
3.579 -7.718 0.407
1.565 -8.495 4.906
-0.561 -3.985 4.734
1.452 -3.207 0.235
4.851 -4.531 0.398
4.802 -8.137 3.822
1.884 -5.343 6.722
1.933 -1.737 3.298
0.000 0.000 0.000
1.509 -5.851 2.570
```

Values from the calculation:
* volume: 39.6 Å³/atom
* crystal system: tetragonal



Stability summary - winner: #B; margin: 175 meV per atom.



#A
Computed, not measured: BaTi2In2 after structural relaxation at the PBE-GGA level of DFT.

The structure in POSCAR format:
```
BaTi2In2
1.0
-4.928 -2.215 -6.874
7.221 -1.672 -4.638
-0.052 -3.060 1.023
Ti Ba In
4 2 4
Cartesian
3.968 -3.016 -3.733
2.700 -4.400 -7.938
-1.727 -3.930 -6.757
-0.458 -2.546 -2.552
0.000 0.000 0.000
1.146 -1.943 -5.756
4.466 -2.285 -6.613
0.226 -2.981 -8.909
-2.173 -1.601 -4.900
2.067 -0.905 -2.603
```

Values from the calculation:
* volume: 24.7 Å³/atom
* crystal system: tetragonal



#B
Computed, not measured: BaTi2In2 after structural relaxation at the PBE-GGA level of DFT.

The structure in POSCAR format:
```
BaTi2In2
1.0
-8.762 1.249 0.644
-1.224 -8.781 0.387
0.243 0.103 3.109
Ti Ba In
4 2 4
Cartesian
-4.500 -7.323 0.595
-8.540 -4.251 0.809
-5.486 -0.208 0.436
-1.446 -3.281 0.222
0.000 0.000 0.000
-4.993 -3.766 0.515
-2.252 -5.667 1.930
-6.813 -6.335 2.309
-7.491 -1.761 2.210
-2.930 -1.093 1.831
```

Values from the calculation:
* volume: 24.6 Å³/atom
* crystal system: tetragonal



Stability summary - winner: #B; margin: 204 meV per atom.



#A
Computed, not measured: BaTlIn2 after structural relaxation at the PBE-GGA level of DFT.

The structure in POSCAR format:
```
BaTlIn2
1.0
5.303 0.000 0.000
0.000 5.303 0.000
2.651 2.651 10.816
Tl Ba In
2 2 4
Cartesian
0.000 0.000 0.000
5.303 2.651 5.408
2.651 2.651 0.000
2.651 5.303 5.408
4.636 1.326 2.704
0.667 3.977 2.704
3.977 3.319 8.112
6.629 7.287 8.112
```

Values from the calculation:
* volume: 38.0 Å³/atom
* crystal system: tetragonal



#B
Computed, not measured: BaTlIn2 after structural relaxation at the PBE-GGA level of DFT.

The structure in POSCAR format:
```
BaTlIn2
1.0
0.000 4.024 4.024
4.024 0.000 4.024
4.024 4.024 0.000
Tl Ba In
1 1 2
Cartesian
4.024 4.024 4.024
0.000 0.000 0.000
2.012 2.012 2.012
6.036 6.036 6.036
```

Values from the calculation:
* volume: 32.6 Å³/atom
* crystal system: cubic



Stability summary - winner: #B; margin: 88 meV per atom.



#A
Computed, not measured: BaTlIn2 after structural relaxation at the PBE-GGA level of DFT.

The structure in POSCAR format:
```
BaTlIn2
1.0
3.927 0.000 0.000
0.000 4.176 0.000
0.000 0.000 7.878
Ba In Tl
1 2 1
Cartesian
1.963 2.088 5.924
0.000 0.000 0.387
1.963 2.088 1.920
0.000 0.000 3.587
```

Values from the calculation:
* volume: 32.3 Å³/atom
* crystal system: orthorhombic



#B
Computed, not measured: BaTlIn2 after structural relaxation at the PBE-GGA level of DFT.

The structure in POSCAR format:
```
BaTlIn2
1.0
-4.387 -1.515 1.859
1.232 -6.387 -2.297
1.276 2.233 4.832
Ba Tl In
1 1 2
Cartesian
-0.522 -4.486 1.835
1.810 -0.918 3.523
0.312 -0.158 0.607
-1.196 -1.263 2.871
```

Values from the calculation:
* volume: 36.7 Å³/atom
* crystal system: orthorhombic



Stability summary - winner: #A; margin: 59 meV per atom.